! KNb2WO8 | Alexandria via LeMat-Bulk | PBE with a Hubbard U | relaxed; values from VASP
! * theoretical density: 4.5 g cm⁻³
! * DFT total energy: -7.986 eV/atom
! * DOS at the Fermi energy: 0.00 states/eV/f.u.
&SYSTEM
  ibrav = 0, nat = 12, ntyp = 4
/
ATOMIC_SPECIES
K 39.10 K.upf
Nb 92.91 Nb.upf
W 183.84 W.upf
O 16.00 O.upf
CELL_PARAMETERS angstrom
4.405 -3.163 0.000
4.405 3.163 0.000
-1.817 0.000 7.055
ATOMIC_POSITIONS crystal
K 0.000 0.000 0.000
Nb 0.432 0.432 0.777
Nb 0.568 0.568 0.223
W 0.000 0.000 0.500
O 0.216 0.750 0.690
O 0.222 0.222 0.602
O 0.250 0.784 0.310
O 0.356 0.356 0.001
O 0.644 0.644 0.999
O 0.750 0.216 0.690
O 0.778 0.778 0.398
O 0.784 0.250 0.310